Entry 1:
First-principles (PBE) data for a geometry-optimized Ba2LiMnH6 structure, as listed in Alexandria via LeMat-Bulk. Values from VASP.

The structure in Quantum ESPRESSO input format:
```
&SYSTEM
  ibrav = 0, nat = 10, ntyp = 4
/
ATOMIC_SPECIES
Ba 137.33 Ba.upf
Li 6.94 Li.upf
Mn 54.94 Mn.upf
H 1.01 H.upf
CELL_PARAMETERS angstrom
5.514 0.000 0.000
-2.757 4.775 0.000
0.000 0.000 4.786
ATOMIC_POSITIONS angstrom
Ba 0.000 3.183 1.204
Ba 2.757 1.592 3.582
Li 0.000 0.000 0.000
Mn 0.000 0.000 2.393
H 0.000 1.401 3.403
H -1.544 4.075 3.403
H 1.213 0.700 1.384
H 1.544 4.075 3.403
H 4.301 0.700 1.384
H 2.757 3.374 1.384
```


Entry 2:
! CeY2Tm5 PBE optimized geometry; values from VASP
&SYSTEM
  ibrav = 0, nat = 16, ntyp = 3
/
ATOMIC_SPECIES
Ce 140.12 Ce.upf
Y 88.91 Y.upf
Tm 168.93 Tm.upf
CELL_PARAMETERS angstrom
7.026 0.000 0.000
0.000 14.065 0.000
0.000 0.000 4.970
ATOMIC_POSITIONS angstrom
Ce 0.000 0.000 0.000
Ce 3.513 7.033 0.000
Y 1.741 1.748 2.485
Y 1.773 8.781 2.485
Y 5.254 5.284 2.485
Y 5.286 12.317 2.485
Tm 0.000 7.033 0.000
Tm 0.011 3.521 0.000
Tm 1.726 12.318 2.485
Tm 1.787 5.285 2.485
Tm 3.502 10.553 0.000
Tm 3.513 0.000 0.000
Tm 3.525 3.512 0.000
Tm 5.240 8.780 2.485
Tm 5.300 1.747 2.485
Tm 7.015 10.545 0.000
! - Excess energy over the best structure of this formula in the dataset: 4 meV/atom
! - Energy relative to the elements: 0.047 eV per atom


Entry 3:
! BePCl2O PBE optimized geometry; values from VASP
&SYSTEM
  ibrav = 0, nat = 5, ntyp = 4
/
ATOMIC_SPECIES
Be 9.01 Be.upf
P 30.97 P.upf
Cl 35.45 Cl.upf
O 16.00 O.upf
CELL_PARAMETERS angstrom
4.511 0.000 0.000
0.000 4.511 0.000
0.000 0.000 4.072
ATOMIC_POSITIONS angstrom
Be 0.000 0.000 0.000
P 2.256 2.256 0.000
Cl 0.000 2.256 2.036
Cl 2.256 0.000 2.036
O 2.256 2.256 2.036
! - Excess energy over the best structure of this formula in the dataset: 387 meV/atom


Entry 4:
! Y3VS PBE optimized geometry; values from VASP
&SYSTEM
  ibrav = 0, nat = 5, ntyp = 3
/
ATOMIC_SPECIES
Y 88.91 Y.upf
V 50.94 V.upf
S 32.06 S.upf
CELL_PARAMETERS angstrom
5.192 0.000 0.000
0.000 5.192 0.000
0.000 0.000 5.192
ATOMIC_POSITIONS angstrom
Y 0.000 0.000 2.596
Y 0.000 2.596 0.000
Y 2.596 0.000 0.000
V 2.596 2.596 2.596
S 0.000 0.000 0.000
! - Excess energy over the best structure of this formula in the dataset: 0 meV/atom


no.,volume (A^3/atom),energy (eV/cell)
1,12.60,-38.932
2,30.70,-81.686
3,16.58,-13.169
4,27.99,-34.156